Computed, not measured: a geometry-optimized Er3CuSnS7 structure at the GGA-PBE level of DFT.

As for the symmetry: P6_3. As for the volume: 508 Å³/cell. As for the uncorrected formation energy: -1.40 eV per atom. As for the crystal system: hexagonal.

```
24
Lattice="9.6803 0.0000 0.0000 -4.8401 8.3834 0.0000 0.0000 0.0000 6.2550" Properties=species:S:1:pos:R:3 pbc="T T T"
Er -0.2666 3.0160 0.0000
Er -2.0950 7.1062 0.0000
Er 2.4786 1.7388 3.1275
Er 2.3615 6.6445 0.0000
Er 6.9351 1.2771 3.1275
Er 5.1067 5.3674 3.1275
Cu 0.0000 0.0000 0.7524
Cu 0.0000 0.0000 3.8799
Sn 0.0000 5.5889 2.7256
Sn 4.8401 2.7945 5.8531
S -1.9306 4.7050 1.5635
S -0.1349 2.2110 3.6572
S -2.8579 7.3947 3.6572
S 1.8473 1.2223 0.5297
S 0.0000 5.5889 5.1312
S 1.7308 4.3589 1.5635
S 0.1998 7.7028 1.5635
S 4.6403 0.6806 4.6910
S 3.1094 4.0244 4.6910
S 4.8401 2.7945 2.0037
S 2.9928 7.1610 3.6572
S 7.6981 0.9887 0.5297
S 4.9750 6.1724 0.5297
S 6.7707 3.6784 4.6910
```


Computed, not measured: a geometry-optimized Pm2Zn7Pd structure at the GGA-PBE level of DFT.

As for the symmetry: P-4m2. As for the volume: 190 Å³/cell. The value obtained for the density of states at the Fermi level is 7.4 states/eV/f.u. Its formation energy is -35.84 kJ per mole of atoms. As for the crystal system: tetragonal.

```
10
Lattice="4.2266 0.0000 0.0000 0.0000 4.2266 0.0000 0.0000 0.0000 10.6180" Properties=species:S:1:pos:R:3 pbc="T T T"
Pm 0.0000 2.1133 2.6214
Pm 2.1133 0.0000 7.9966
Zn 0.0000 0.0000 0.0000
Zn 0.0000 2.1133 6.7578
Zn 0.0000 2.1133 9.2151
Zn 2.1133 0.0000 1.4029
Zn 2.1133 0.0000 3.8602
Zn 2.1133 2.1133 0.0000
Zn 2.1133 2.1133 5.3090
Pd 0.0000 0.0000 5.3090
```


Computed, not measured: a geometry-optimized Cs2CuTeBr6 structure at the GGA-PBE level of DFT.

As for the symmetry: I4/mmm. As for the volume: 350 Å³/cell. As for the uncorrected formation energy: -0.91 eV per atom. The value obtained for the density of states at the Fermi level is 3.7 states/eV/f.u. As for the crystal system: tetragonal.

```
10
Lattice="-3.8891 3.8891 5.7908 3.8891 -3.8891 5.7908 3.8891 3.8891 -5.7908" Properties=species:S:1:pos:R:3 pbc="T T T"
Cs 3.8891 0.0000 2.8954
Cs 0.0000 3.8891 2.8954
Cu 0.0000 0.0000 0.0000
Te 0.0000 0.0000 5.7908
Br 1.7787 1.7787 0.0000
Br 2.1104 -2.1104 5.7908
Br 0.0000 0.0000 3.0375
Br 0.0000 0.0000 8.5442
Br -2.1104 2.1104 5.7908
Br 2.1104 2.1104 5.7908
```


Computed, not measured: a geometry-optimized KScC2 structure at the GGA-PBE level of DFT.

As for the symmetry: I4_1/amd. As for the volume: 165 Å³/cell. The value obtained for the density of states at the Fermi level is 4.0 states/eV/f.u. Its formation energy is 132.22 kJ per mole of atoms. As for the crystal system: tetragonal.

```
8
Lattice="-2.3618 2.3618 7.3988 2.3618 -2.3618 7.3988 2.3618 2.3618 -7.3988" Properties=species:S:1:pos:R:3 pbc="T T T"
K 2.3618 1.1809 1.8497
K 0.0000 1.1809 5.5491
Sc 2.3618 -1.1809 5.5491
Sc 0.0000 3.5427 1.8497
C 0.0000 0.0000 0.0000
C 1.1809 1.1809 -3.6994
C 1.1809 -1.1809 3.6994
C 0.0000 2.3618 0.0000
```


Computed, not measured: a geometry-optimized Rb2RuO4 structure at the GGA-PBE level of DFT.

As for the symmetry: I4/mmm. As for the volume: 114 Å³/cell. As for the uncorrected formation energy: -1.14 eV per atom. The value obtained for the density of states at the Fermi level is 4.2 states/eV/f.u. As for the crystal system: tetragonal.

```
7
Lattice="-1.9900 1.9900 7.1907 1.9900 -1.9900 7.1907 1.9900 1.9900 -7.1907" Properties=species:S:1:pos:R:3 pbc="T T T"
Rb 0.0000 0.0000 2.1919
Rb 0.0000 0.0000 12.1894
Ru 0.0000 0.0000 7.1907
O 1.9900 0.0000 0.0000
O 0.0000 0.0000 5.3047
O 0.0000 1.9900 0.0000
O 0.0000 0.0000 9.0766
```


Computed, not measured: a geometry-optimized LiTb3Y3Te8 structure at the GGA-PBE level of DFT.

As for the symmetry: R-3m. As for the volume: 466 Å³/cell. As for the uncorrected formation energy: -1.35 eV per atom. The value obtained for the density of states at the Fermi level is 4.3 states/eV/f.u. As for the crystal system: trigonal.

```
15
Lattice="4.3512 2.5122 7.1039 -4.3512 2.5122 7.1039 0.0000 -5.0243 7.1039" Properties=species:S:1:pos:R:3 pbc="T T T"
Li 0.0000 0.0000 0.0000
Tb -2.1756 -1.2561 7.1039
Tb -2.1756 1.2561 14.2078
Tb 0.0000 2.5122 7.1039
Y -4.3512 0.0000 10.6559
Y -2.1756 1.2561 3.5519
Y 2.1756 1.2561 3.5520
Te -2.1873 -1.2628 12.4363
Te 0.0000 -2.5256 8.8754
Te -2.1873 1.2628 8.8754
Te 0.0000 0.0000 5.3232
Te 0.0000 0.0000 15.9885
Te 2.1873 -1.2628 12.4363
Te 0.0000 2.5256 12.4363
Te 2.1873 1.2628 8.8754
```


Computed, not measured: a geometry-optimized Sr3PuTe6Pb2 structure at the GGA-PBE level of DFT.

As for the symmetry: C2/m. As for the volume: 435 Å³/cell. As for the uncorrected formation energy: -1.14 eV per atom. The value obtained for the density of states at the Fermi level is 18.2 states/eV/f.u. As for the crystal system: monoclinic.

```
12
Lattice="10.2059 -2.3334 0.0000 10.2059 2.3334 0.0000 -2.1161 0.0000 9.1309" Properties=species:S:1:pos:R:3 pbc="T T T"
Sr 0.0000 0.0000 0.0000
Sr 5.3579 0.0000 6.1048
Sr 12.9377 0.0000 3.0261
Pu -1.0581 0.0000 4.5655
Te 2.1011 0.0000 5.3175
Te 3.2545 0.0000 0.7241
Te 9.6514 0.0000 2.3733
Te 8.6443 0.0000 6.7577
Te 15.0411 0.0000 8.4068
Te 16.1945 0.0000 3.8134
Pb 6.4701 0.0000 1.5429
Pb 11.8255 0.0000 7.5880
```


Computed, not measured: a geometry-optimized RbY2I6 structure at the GGA-PBE level of DFT.

As for the symmetry: P-31m. As for the volume: 446 Å³/cell. As for the uncorrected formation energy: -1.34 eV per atom. The value obtained for the density of states at the Fermi level is 5.3 states/eV/f.u. As for the crystal system: trigonal.

```
9
Lattice="7.7309 0.0000 0.0000 -3.8654 6.6951 0.0000 0.0000 0.0000 8.6176" Properties=species:S:1:pos:R:3 pbc="T T T"
Rb 0.0000 0.0000 0.0000
Y 0.0000 4.4634 4.3088
Y 3.8654 2.2317 4.3088
I -1.3835 2.3963 6.1242
I -2.4819 4.2988 2.4934
I 2.7670 0.0000 6.1242
I 1.3835 2.3963 2.4934
I 4.9639 0.0000 2.4934
I 2.4819 4.2988 6.1242
```


Computed, not measured: a geometry-optimized Co2Sn2Hg structure at the GGA-PBE level of DFT.

As for the symmetry: P4/mbm. As for the volume: 171 Å³/cell. The value obtained for the density of states at the Fermi level is 1.5 states/eV/f.u. Its formation energy is 11.22 kJ per mole of atoms. As for the crystal system: tetragonal.

```
10
Lattice="7.1990 0.0000 0.0000 0.0000 7.1990 0.0000 0.0000 0.0000 3.3089" Properties=species:S:1:pos:R:3 pbc="T T T"
Co 1.0152 2.5843 0.0000
Co 2.5843 6.1838 0.0000
Co 4.6147 1.0152 0.0000
Co 6.1838 4.6147 0.0000
Sn 1.1073 4.7068 1.6545
Sn 2.4922 1.1073 1.6545
Sn 4.7068 6.0917 1.6545
Sn 6.0917 2.4922 1.6545
Hg 0.0000 0.0000 0.0000
Hg 3.5995 3.5995 0.0000
```


Computed, not measured: a geometry-optimized Mg2MnOs structure at the GGA-PBE level of DFT.

As for the symmetry: P4/mmm. As for the volume: 63 Å³/cell. The value obtained for the density of states at the Fermi level is 2.2 states/eV/f.u. Its formation energy is 23.67 kJ per mole of atoms. As for the crystal system: tetragonal.

```
4
Lattice="3.8834 0.0000 0.0000 0.0000 3.8834 0.0000 0.0000 0.0000 4.1997" Properties=species:S:1:pos:R:3 pbc="T T T"
Mg 0.0000 1.9417 0.0000
Mg 1.9417 0.0000 0.0000
Mn 0.0000 0.0000 2.0998
Os 1.9417 1.9417 2.0998
```


Computed, not measured: a geometry-optimized Lu5Si3B structure at the GGA-PBE level of DFT.

As for the symmetry: P6_3/mcm. As for the volume: 371 Å³/cell. As for the uncorrected formation energy: -0.56 eV per atom. The value obtained for the density of states at the Fermi level is 7.4 states/eV/f.u. As for the crystal system: hexagonal.

```
18
Lattice="8.3272 0.0000 0.0000 -4.1636 7.2116 0.0000 0.0000 0.0000 6.1819" Properties=species:S:1:pos:R:3 pbc="T T T"
Lu -0.9929 1.7198 1.5455
Lu -3.1707 5.4918 4.6364
Lu 1.9859 0.0000 1.5455
Lu 0.9929 1.7198 4.6364
Lu 0.0000 4.8077 0.0000
Lu 0.0000 4.8077 3.0909
Lu 4.1636 2.4039 0.0000
Lu 4.1636 2.4039 3.0909
Lu 6.3413 0.0000 4.6364
Lu 3.1707 5.4918 1.5455
Si -1.6699 2.8924 4.6364
Si -2.4937 4.3191 1.5455
Si 3.3399 0.0000 4.6364
Si 1.6699 2.8924 1.5455
Si 4.9873 0.0000 1.5455
Si 2.4937 4.3191 4.6364
B 0.0000 0.0000 0.0000
B 0.0000 0.0000 3.0909
```


Computed, not measured: a geometry-optimized ErThTa structure at the GGA-PBE level of DFT.

As for the symmetry: P4/nmm. As for the volume: 172 Å³/cell. The value obtained for the density of states at the Fermi level is 3.2 states/eV/f.u. Its formation energy is 75.64 kJ per mole of atoms. As for the crystal system: tetragonal.

```
6
Lattice="3.9682 0.0000 0.0000 0.0000 3.9682 0.0000 0.0000 0.0000 10.9395" Properties=species:S:1:pos:R:3 pbc="T T T"
Er 0.9921 2.9762 0.0000
Er 2.9762 0.9921 0.0000
Th 0.9921 0.9921 3.0390
Th 2.9762 2.9762 7.9005
Ta 0.9921 0.9921 5.9559
Ta 2.9762 2.9762 4.9836
```


Here are the calculated E_tot numbers, same order: -134.95, -27.33, -28.05, -40.79, -39.01, -80.51, -59.35, -35.25, -43.88, -22.61, -101.18, -42.97 (eV/cell).